[1]
{"formula": "CrPb", "functional": "PBE-GGA", "state": "relaxed", "lattice": [[-0.817, 2.999, -7.312], [0.166, -7.871, 1.070], [-4.695, -0.029, 0.513]], "species": ["Pb", "Cr", "Pb", "Pb", "Pb", "Cr", "Cr", "Cr", "Cr", "Pb", "Pb", "Cr"], "fractional_positions": [[0.811, 0.189, 0.250], [0.427, 0.854, 0.250], [0.189, 0.811, 0.750], [0.811, 0.622, 0.250], [0.378, 0.189, 0.250], [0.573, 0.146, 0.750], [0.427, 0.573, 0.250], [0.854, 0.427, 0.750], [0.573, 0.427, 0.750], [0.189, 0.378, 0.750], [0.622, 0.811, 0.750], [0.146, 0.573, 0.250]], "final_energy_ry_per_atom": -0.4445, "formation_enthalpy_0k_kj_per_mol_atoms": 60, "spacegroup": "P6_3/mmc, No. 194", "crystal_system": "hexagonal", "total_magnetization_mub_per_cell": 0.00, "dos_at_fermi_per_ev_fu": 1.99}



[2]
{"formula": "Ac3Pm2Pb6", "functional": "PBE-GGA", "state": "relaxed", "lattice": [[-0.985, -1.683, 5.754], [5.963, -0.881, 0.763], [-1.268, 12.592, 0.258]], "species": ["Pb", "Pm", "Pb", "Pb", "Pb", "Ac", "Ac", "Pm", "Pb", "Pb", "Ac"], "fractional_positions": [[0.423, 0.923, 0.846], [0.427, 0.427, 0.855], [0.577, 0.077, 0.154], [0.923, 0.423, 0.846], [0.077, 0.577, 0.154], [0.000, 0.000, 0.000], [0.159, 0.159, 0.319], [0.573, 0.573, 0.145], [0.700, 0.700, 0.400], [0.300, 0.300, 0.600], [0.841, 0.841, 0.681]], "final_energy_ry_per_atom": -0.3077, "formation_enthalpy_0k_kj_per_mol_atoms": -17, "spacegroup": "I4/mmm, No. 139", "crystal_system": "tetragonal", "total_magnetization_mub_per_cell": 0.00, "dos_at_fermi_per_ev_fu": 7.56}



[3]
{"formula": "SrScIr2O8", "functional": "PBE-GGA", "state": "relaxed", "lattice": [[5.839, 0.000, 0.000], [-2.920, 5.057, 0.000], [0.000, 0.000, 7.015]], "species": ["O", "O", "O", "Sr", "O", "O", "Ir", "Ir", "O", "O", "Sc", "O"], "fractional_positions": [[0.333, 0.667, 0.023], [0.311, 0.158, 0.302], [0.153, 0.311, 0.698], [0.000, 0.000, 0.000], [0.689, 0.842, 0.698], [0.847, 0.689, 0.302], [0.667, 0.333, 0.238], [0.333, 0.667, 0.762], [0.667, 0.333, 0.977], [0.158, 0.847, 0.698], [0.000, 0.000, 0.500], [0.842, 0.153, 0.302]], "raw_formation_energy_ev_per_atom": -1.326, "final_energy_ry_per_atom": -0.4980, "spacegroup": "P-3, No. 147", "crystal_system": "trigonal", "total_magnetization_mub_per_cell": 0.96, "dos_at_fermi_per_ev_fu": 10.96}



[4]
{"formula": "La5NdY8", "functional": "PBE-GGA", "state": "relaxed", "lattice": [[-5.196, 3.783, -5.709], [-2.144, -8.243, 1.165], [-0.805, 4.479, 7.293]], "species": ["La", "La", "Y", "Y", "La", "Nd", "Y", "La", "Y", "Y", "Y", "Y", "Y", "La"], "fractional_positions": [[0.295, 0.108, 0.968], [0.500, 0.000, 0.500], [0.569, 0.907, 0.826], [0.174, 0.743, 0.081], [0.032, 0.326, 0.140], [0.250, 0.500, 0.750], [0.675, 0.398, 0.926], [0.814, 0.674, 0.705], [0.723, 0.251, 0.325], [0.074, 0.749, 0.472], [0.528, 0.602, 0.277], [0.338, 0.257, 0.431], [0.919, 0.093, 0.662], [0.860, 0.892, 0.186]], "final_energy_ry_per_atom": -0.4094, "formation_enthalpy_0k_kj_per_mol_atoms": 22, "spacegroup": "I-4, No. 82", "crystal_system": "tetragonal", "total_magnetization_mub_per_cell": 0.01, "dos_at_fermi_per_ev_fu": 21.82}



[5]
{"formula": "K8PaO6", "functional": "PBE-GGA", "state": "relaxed", "lattice": [[-5.936, 1.405, -2.799], [-5.480, -3.389, 1.876], [-5.579, 6.195, 6.894]], "species": ["K", "K", "O", "K", "O", "O", "K", "O", "O", "Pa", "K", "K", "K", "O", "K"], "fractional_positions": [[0.445, 0.089, 0.735], [0.667, 0.667, 0.000], [0.774, 0.044, 0.869], [0.555, 0.911, 0.265], [0.313, 0.774, 0.869], [0.687, 0.226, 0.131], [0.269, 0.555, 0.265], [0.226, 0.956, 0.131], [0.956, 0.687, 0.131], [0.000, 0.000, 0.000], [0.333, 0.333, 0.000], [0.089, 0.731, 0.735], [0.731, 0.445, 0.735], [0.044, 0.313, 0.869], [0.911, 0.269, 0.265]], "raw_formation_energy_ev_per_atom": -1.751, "final_energy_ry_per_atom": -0.3640, "spacegroup": "R-3, No. 148", "crystal_system": "trigonal", "total_magnetization_mub_per_cell": 0.38, "dos_at_fermi_per_ev_fu": 2.06}